Record 1
! PBE Tl2BiI, optimized geometry; values from VASP
! * energy relative to the lowest polymorph listed for this composition: 0.140 eV/atom
! * calculated volume: 51.77 Å³ per atom
! * magnetic moment: 0.000 μB per cell
! * ΔE_f (raw): -0.006 eV per atom
&SYSTEM
  ibrav = 0, nat = 16, ntyp = 3
/
ATOMIC_SPECIES
Tl 204.38 Tl.upf
Bi 208.98 Bi.upf
I 126.90 I.upf
CELL_PARAMETERS angstrom
7.1430 0.0000 0.0000
0.0000 7.1430 0.0000
0.0000 0.0000 16.2334
ATOMIC_POSITIONS crystal
Tl 0.2181 0.2500 0.1250
Tl 0.2500 0.7181 0.3750
Tl 0.2500 0.7819 0.8750
Tl 0.2819 0.2500 0.6250
Tl 0.7181 0.7500 0.6250
Tl 0.7500 0.2181 0.8750
Tl 0.7500 0.2819 0.3750
Tl 0.7819 0.7500 0.1250
Bi 0.0000 0.0000 0.0000
Bi 0.0000 0.5000 0.2500
Bi 0.5000 0.0000 0.7500
Bi 0.5000 0.5000 0.5000
I 0.0000 0.0000 0.5000
I 0.0000 0.5000 0.7500
I 0.5000 0.0000 0.2500
I 0.5000 0.5000 0.0000

Record 2
! PBE PrDy2Y3Te6, optimized geometry; values from VASP
! * calculated volume: 29.94 Å³ per atom
! * magnetic moment: 0.000 μB per cell
! * ΔE_f (raw): -1.322 eV per atom
&SYSTEM
  ibrav = 0, nat = 12, ntyp = 4
/
ATOMIC_SPECIES
Pr 140.91 Pr.upf
Dy 162.50 Dy.upf
Y 88.91 Y.upf
Te 127.60 Te.upf
CELL_PARAMETERS angstrom
9.5595 -2.1820 0.0000
9.5595 2.1820 0.0000
-1.9691 0.0000 8.6123
ATOMIC_POSITIONS crystal
Pr 0.0000 0.0000 0.0000
Dy 0.3360 0.3360 0.6706
Dy 0.6640 0.6640 0.3294
Y 0.0000 0.0000 0.5000
Y 0.3394 0.3394 0.1668
Y 0.6606 0.6606 0.8332
Te 0.1683 0.1683 0.5833
Te 0.1726 0.1726 0.0871
Te 0.4982 0.4982 0.7396
Te 0.5018 0.5018 0.2604
Te 0.8274 0.8274 0.9129
Te 0.8317 0.8317 0.4167

Record 3
! PBE SmTh2Sc, optimized geometry; values from VASP
! * energy relative to the lowest polymorph listed for this composition: 0.018 eV/atom
! * calculated volume: 30.61 Å³ per atom
! * magnetic moment: 0.000 μB per cell
! * energy of formation: 0.3 eV/f.u.
&SYSTEM
  ibrav = 0, nat = 12, ntyp = 3
/
ATOMIC_SPECIES
Sm 150.36 Sm.upf
Th 232.04 Th.upf
Sc 44.96 Sc.upf
CELL_PARAMETERS angstrom
3.5206 0.0000 0.0000
-1.7603 3.0489 0.0000
0.0000 0.0000 34.2244
ATOMIC_POSITIONS crystal
Sm 0.0000 0.0000 0.0000
Sm 0.3333 0.6667 0.6667
Sm 0.6667 0.3333 0.3333
Th 0.0000 0.0000 0.5819
Th 0.0000 0.0000 0.7557
Th 0.3333 0.6667 0.2485
Th 0.3333 0.6667 0.4223
Th 0.6667 0.3333 0.0890
Th 0.6667 0.3333 0.9152
Sc 0.0000 0.0000 0.1700
Sc 0.3333 0.6667 0.8367
Sc 0.6667 0.3333 0.5033

Record 4
! PBE LaPr2SmDy4, optimized geometry; values from VASP
! * calculated volume: 33.48 Å³ per atom
! * magnetic moment: 0.000 μB per cell
! * energy of formation: 0.1 eV/f.u.
&SYSTEM
  ibrav = 0, nat = 8, ntyp = 4
/
ATOMIC_SPECIES
La 138.91 La.upf
Pr 140.91 Pr.upf
Sm 150.36 Sm.upf
Dy 162.50 Dy.upf
CELL_PARAMETERS angstrom
6.2807 0.0000 0.0000
0.0000 3.6390 0.0000
-2.1305 0.0000 11.7175
ATOMIC_POSITIONS crystal
La 0.0000 0.0000 0.0000
Pr 0.5000 0.0000 0.5000
Pr 0.5000 0.5000 0.0000
Sm 0.0000 0.5000 0.5000
Dy 0.2491 0.0000 0.7486
Dy 0.2500 0.5000 0.2517
Dy 0.7500 0.5000 0.7483
Dy 0.7509 0.0000 0.2514

Record 5
! PBE Pr6Ir2CBr3, optimized geometry; values from VASP
! * calculated volume: 28.36 Å³ per atom
! * magnetic moment: 0.001 μB per cell
! * ΔE_f (raw): -0.953 eV per atom
&SYSTEM
  ibrav = 0, nat = 12, ntyp = 4
/
ATOMIC_SPECIES
Pr 140.91 Pr.upf
Ir 192.22 Ir.upf
C 12.01 C.upf
Br 79.90 Br.upf
CELL_PARAMETERS angstrom
3.5697 -6.1770 0.0000
3.5697 6.1770 0.0000
-2.3563 0.0000 7.7169
ATOMIC_POSITIONS crystal
Pr 0.0614 0.3739 0.1886
Pr 0.2526 0.2526 0.8112
Pr 0.3739 0.0614 0.1886
Pr 0.6261 0.9386 0.8114
Pr 0.7474 0.7474 0.1888
Pr 0.9386 0.6261 0.8114
Ir 0.3327 0.6673 0.0000
Ir 0.6673 0.3327 0.0000
C 0.0000 0.0000 0.0000
Br 0.1627 0.8373 0.5000
Br 0.5000 0.5000 0.5000
Br 0.8373 0.1627 0.5000

Record 6
! PBE CuRe2Mo, optimized geometry; values from VASP
! * energy relative to the lowest polymorph listed for this composition: 0.027 eV/atom
! * calculated volume: 14.83 Å³ per atom
! * magnetic moment: 0.000 μB per cell
! * energy of formation: 0.8 eV/f.u.
&SYSTEM
  ibrav = 0, nat = 12, ntyp = 3
/
ATOMIC_SPECIES
Cu 63.55 Cu.upf
Re 186.21 Re.upf
Mo 95.94 Mo.upf
CELL_PARAMETERS angstrom
2.7563 0.0000 0.0000
-1.3781 2.3870 0.0000
0.0000 0.0000 27.0498
ATOMIC_POSITIONS crystal
Cu 0.0000 0.0000 0.0000
Cu 0.3333 0.6667 0.6667
Cu 0.6667 0.3333 0.3333
Re 0.0000 0.0000 0.4962
Re 0.0000 0.0000 0.7492
Re 0.3333 0.6667 0.1629
Re 0.3333 0.6667 0.4159
Re 0.6667 0.3333 0.0826
Re 0.6667 0.3333 0.8296
Mo 0.0000 0.0000 0.2498
Mo 0.3333 0.6667 0.9165
Mo 0.6667 0.3333 0.5832

Record 7
! PBE Mg4Si7, optimized geometry; values from VASP
! * energy relative to the lowest polymorph listed for this composition: 0.021 eV/atom
! * calculated volume: 17.78 Å³ per atom
! * magnetic moment: 0.000 μB per cell
! * ΔE_f (raw): 0.117 eV per atom
&SYSTEM
  ibrav = 0, nat = 22, ntyp = 2
/
ATOMIC_SPECIES
Mg 24.30 Mg.upf
Si 28.09 Si.upf
CELL_PARAMETERS angstrom
7.0052 0.0000 0.0000
0.0000 3.9328 0.0000
-0.9835 0.0000 14.2016
ATOMIC_POSITIONS crystal
Mg 0.0000 0.0000 0.0000
Mg 0.0274 0.5000 0.1781
Mg 0.0574 0.5000 0.6656
Mg 0.2277 0.0000 0.3298
Mg 0.3987 0.5000 0.4825
Mg 0.4701 0.0000 0.9015
Mg 0.5357 0.5000 0.2599
Mg 0.9281 0.5000 0.4169
Si 0.1339 0.0000 0.5238
Si 0.1687 0.5000 0.8706
Si 0.3195 0.5000 0.0302
Si 0.3218 0.0000 0.1394
Si 0.3872 0.0000 0.6497
Si 0.4323 0.5000 0.7591
Si 0.6180 0.0000 0.3979
Si 0.6634 0.5000 0.6305
Si 0.6807 0.0000 0.1234
Si 0.6835 0.5000 0.0207
Si 0.7484 0.5000 0.8508
Si 0.7919 0.0000 0.5536
Si 0.8422 0.0000 0.2770
Si 0.9537 0.0000 0.8090

Record 8
! PBE Li2TcSe, optimized geometry; values from VASP
! * calculated volume: 14.65 Å³ per atom
! * magnetic moment: 2.197 μB per cell
! * ΔE_f (raw): 0.022 eV per atom
&SYSTEM
  ibrav = 0, nat = 8, ntyp = 3
/
ATOMIC_SPECIES
Li 6.94 Li.upf
Tc 98.00 Tc.upf
Se 78.96 Se.upf
CELL_PARAMETERS angstrom
3.6497 0.0000 0.0000
0.0000 3.6497 0.0000
0.0000 0.0000 8.7991
ATOMIC_POSITIONS crystal
Li 0.0000 0.5000 0.2500
Li 0.0000 0.5000 0.7500
Li 0.5000 0.0000 0.2500
Li 0.5000 0.0000 0.7500
Tc 0.0000 0.0000 0.0000
Tc 0.5000 0.5000 0.5000
Se 0.0000 0.0000 0.5000
Se 0.5000 0.5000 0.0000